The following is a GGA-PBE calculation of a relaxed structure of Sc4In3Pb, from Alexandria. Values from VASP.

## Properties
VASP energy in eV per atom: -5.03
Calculated formation energy in eV/f.u.: -2.97

Structure (Quantum ESPRESSO input):
```
&SYSTEM
  ibrav = 0, nat = 16, ntyp = 3
/
ATOMIC_SPECIES
In 114.82 In.upf
Sc 44.96 Sc.upf
Pb 207.20 Pb.upf
ATOMIC_POSITIONS crystal
In 0.0000 0.0000 0.5000
Sc 0.5000 0.7524 0.0000
Sc 0.5000 0.7524 0.5000
In 0.6137 0.5000 0.7500
Sc 0.8765 0.2477 0.2500
Sc 0.5000 0.2476 0.5000
Pb 0.0000 0.5000 0.0000
Sc 0.1235 0.2477 0.7500
Pb 0.0000 0.5000 0.5000
Sc 0.8765 0.7523 0.2500
Sc 0.5000 0.2476 0.0000
In 0.0000 0.0000 0.0000
In 0.6251 0.0000 0.7500
Sc 0.1235 0.7523 0.7500
In 0.3863 0.5000 0.2500
In 0.3749 0.0000 0.2500
CELL_PARAMETERS angstrom
5.3522 0.0000 0.0000
0.0000 6.6517 0.0000
0.0000 0.0000 10.3597
```